Material: PaInNiHg
Method: DFT, PBE-GGA
State: relaxed

Calculated values
Electronic total energy   -4.606 eV per atom
Density of states at the Fermi level   10.6 states/eV/cell
Total moment   0.00 μB per formula unit
Formation enthalpy at 0 K   -0.03 eV/atom

abc: 6.9460 6.9460 6.9460
angles: 90.00 90.00 90.00
Last column: nearest neighbours and their distance in Å.
Atoms (fractional coordinates):
Pa (0.0000, 0.0000, 0.0000)  4 Ni 3.01, 4 Hg 3.01
Pa (0.0000, 0.5000, 0.5000)  4 Hg 3.01, 4 Ni 3.01
Pa (0.5000, 0.0000, 0.5000)  4 Hg 3.01, 4 Ni 3.01
Pa (0.5000, 0.5000, 0.0000)  4 Ni 3.01, 4 Hg 3.01
In (0.0000, 0.0000, 0.5000)  4 Hg 3.01, 4 Ni 3.01
In (0.0000, 0.5000, 0.0000)  4 Hg 3.01, 4 Ni 3.01
In (0.5000, 0.0000, 0.0000)  4 Hg 3.01, 4 Ni 3.01
In (0.5000, 0.5000, 0.5000)  4 Hg 3.01, 4 Ni 3.01
Ni (0.2500, 0.2500, 0.2500)  4 In 3.01, 4 Pa 3.01
Ni (0.2500, 0.7500, 0.7500)  4 In 3.01, 4 Pa 3.01
Ni (0.7500, 0.2500, 0.7500)  4 In 3.01, 4 Pa 3.01
Ni (0.7500, 0.7500, 0.2500)  4 In 3.01, 4 Pa 3.01
Hg (0.2500, 0.2500, 0.7500)  4 In 3.01, 4 Pa 3.01
Hg (0.2500, 0.7500, 0.2500)  4 In 3.01, 4 Pa 3.01
Hg (0.7500, 0.2500, 0.2500)  4 In 3.01, 4 Pa 3.01
Hg (0.7500, 0.7500, 0.7500)  4 In 3.01, 4 Pa 3.01